[1]
## RbTa2Nb (GGA-PBE)

Data for an optimized crystal structure of RbTa2Nb.

```
4
Lattice="0.0000 3.4933 3.4933 3.4933 0.0000 3.4933 3.4933 3.4933 0.0000" Properties=species:S:1:pos:R:3 pbc="T T T"
Rb 0.0000 0.0000 0.0000
Ta 1.7466 1.7466 1.7466
Ta 5.2399 5.2399 5.2399
Nb 3.4933 3.4933 3.4933
```

Space group: Fm-3m
Uncorrected energy in eV per atom: -7.01

---

[2]
## TiGaRh3 (GGA-PBE)

Data for an optimized crystal structure of TiGaRh3.

```
20
Lattice="6.5976 0.0000 0.0000 0.0000 6.0069 0.0000 -2.6133 0.0000 7.9209" Properties=species:S:1:pos:R:3 pbc="T T T"
Ti 0.1258 1.5017 0.0638
Ti 1.3635 4.5052 2.7203
Ti 2.6208 1.5017 5.2005
Ti 3.8585 4.5052 7.8570
Ga -1.2001 1.5017 4.0027
Ga 0.0497 4.5052 6.6473
Ga 3.9346 1.5017 1.2735
Ga 5.1844 4.5052 3.9181
Rh -0.6532 0.0020 1.9851
Rh 4.6375 6.0049 5.9358
Rh -0.6532 3.0015 1.9851
Rh 4.6375 3.0055 5.9358
Rh 0.6881 3.0101 4.6690
Rh 2.0041 3.0156 0.6784
Rh 2.0041 5.9948 0.6784
Rh 0.6881 6.0003 4.6690
Rh 3.2962 0.0066 3.2519
Rh 1.9802 0.0121 7.2425
Rh 1.9802 2.9913 7.2425
Rh 3.2962 2.9968 3.2519
```

Space group: P2_1/m
Uncorrected energy in eV per atom: -7.12

---

[3]
## SbAsAu2 (GGA-PBE)

Data for an optimized crystal structure of SbAsAu2.

```
4
Lattice="-2.0601 2.0601 4.8914 2.0601 -2.0601 4.8914 2.0601 2.0601 -4.8914" Properties=species:S:1:pos:R:3 pbc="T T T"
Sb 0.0000 0.0000 0.0000
As 0.0000 0.0000 4.8914
Au 2.0601 0.0000 2.4457
Au 0.0000 2.0601 2.4457
```

Space group: I4/mmm
E_form (uncorrected) in eV/f.u.: 0.76

---

[4]
## Pm2Sm3N4 (GGA-PBE)

Data for an optimized crystal structure of Pm2Sm3N4.

```
9
Lattice="3.1266 -1.8052 0.0000 3.1266 1.8052 0.0000 -0.0189 0.0000 15.0503" Properties=species:S:1:pos:R:3 pbc="T T T"
Pm 1.0417 0.0000 2.8444
Pm 5.1926 0.0000 12.2059
Sm 1.0242 0.0000 9.3200
Sm 3.1266 0.0000 0.0000
Sm 5.2102 0.0000 5.7304
N 1.0236 0.0000 13.5545
N 3.1081 0.0000 10.4897
N 3.1263 0.0000 4.5606
N 5.2108 0.0000 1.4958
```

Space group: C2/m
E_form (uncorrected) in eV/f.u.: -11.70

---

[5]
## LaTmTi (GGA-PBE)

Data for an optimized crystal structure of LaTmTi.

```
6
Lattice="1.6952 -9.7782 0.0000 1.6952 9.7782 0.0000 0.0000 0.0000 4.9436" Properties=species:S:1:pos:R:3 pbc="T T T"
La 1.6952 5.8551 3.7077
La 1.6952 -5.8551 1.2359
Tm 1.6952 1.9122 3.7077
Tm 1.6952 -1.9122 1.2359
Ti 1.6952 9.1265 3.7077
Ti 1.6952 -9.1265 1.2359
```

Space group: Cmcm
Uncorrected energy in eV per atom: -5.63

---

[6]
## Pr6Ga3Pt (GGA-PBE)

Data for an optimized crystal structure of Pr6Ga3Pt.

```
20
Lattice="9.0449 0.0000 0.0000 0.0000 12.0465 0.0000 0.0000 0.0000 5.2279" Properties=species:S:1:pos:R:3 pbc="T T T"
Pr 0.0240 2.9951 0.0000
Pr 1.4765 1.0315 2.6140
Pr 1.5709 5.0679 2.6140
Pr 2.9515 11.0912 0.0000
Pr 3.0460 7.0547 0.0000
Pr 4.4985 9.0184 2.6140
Pr 4.5465 3.0281 2.6140
Pr 5.9989 4.9918 0.0000
Pr 6.0934 0.9553 0.0000
Pr 7.4740 6.9786 2.6140
Pr 7.5684 11.0151 2.6140
Pr 9.0209 9.0514 0.0000
Ga 0.0000 6.0233 0.0000
Ga 1.4712 8.7508 2.6140
Ga 3.0513 2.7275 0.0000
Ga 4.5225 0.0000 2.6140
Ga 5.9936 9.3191 0.0000
Ga 7.5738 3.2958 2.6140
Pt 0.0000 0.0000 0.0000
Pt 4.5225 6.0233 2.6140
```

Space group: Pnnm
Uncorrected energy in eV per atom: -4.87

---

[7]
## Sc4AgHg (GGA-PBE)

Data for an optimized crystal structure of Sc4AgHg.

```
6
Lattice="4.7289 0.0000 0.0000 0.0000 4.7289 0.0000 0.0000 0.0000 6.7724" Properties=species:S:1:pos:R:3 pbc="T T T"
Sc 0.0000 2.3644 1.6599
Sc 0.0000 2.3644 5.1125
Sc 2.3644 0.0000 1.6599
Sc 2.3644 0.0000 5.1125
Ag 0.0000 0.0000 0.0000
Hg 2.3644 2.3644 3.3862
```

Space group: P4/mmm
Uncorrected energy in eV per atom: -4.73

---

[8]
## Tb2NdTe2 (GGA-PBE)

Data for an optimized crystal structure of Tb2NdTe2.

```
5
Lattice="3.6036 -2.9996 0.0000 3.6036 2.9996 0.0000 -1.9186 0.0000 7.2094" Properties=species:S:1:pos:R:3 pbc="T T T"
Tb 3.6036 1.5140 0.0000
Tb 3.6036 -1.5140 0.0000
Nd -0.9593 0.0000 3.6047
Te 1.8104 0.0000 2.0814
Te 3.4783 0.0000 5.1280
```

Space group: C2/m
E_form (uncorrected) in eV/f.u.: -4.05

---

[9]
## Tb12Pm5Pr (GGA-PBE)

Data for an optimized crystal structure of Tb12Pm5Pr.

```
18
Lattice="5.7078 -8.7114 0.0000 5.7078 8.7114 0.0000 -0.0019 0.0000 6.0014" Properties=species:S:1:pos:R:3 pbc="T T T"
Tb 2.0287 2.9036 0.3285
Tb 3.6670 2.9040 3.3306
Tb 2.0012 0.0000 2.6975
Tb 3.6756 0.0000 5.6991
Tb 2.0287 -2.9036 0.3285
Tb 3.6670 -2.9040 3.3306
Tb 7.7468 2.9040 2.6708
Tb 9.3850 2.9036 5.6729
Tb 7.7382 0.0000 0.3023
Tb 9.4126 0.0000 3.3038
Tb 7.7468 -2.9040 2.6708
Tb 9.3850 -2.9036 5.6729
Pm 0.0000 0.0000 0.0000
Pm 5.7069 5.7844 3.0007
Pm 5.7078 2.9181 0.0000
Pm 5.7078 -2.9181 0.0000
Pm 5.7069 -5.7844 3.0007
Pr 5.7069 0.0000 3.0007
```

Space group: C2/m
Uncorrected energy in eV per atom: -4.57

---

[10]
## NaLaHoTl (GGA-PBE)

Data for an optimized crystal structure of NaLaHoTl.

```
4
Lattice="0.0000 3.9151 3.9151 3.9151 0.0000 3.9151 3.9151 3.9151 0.0000" Properties=species:S:1:pos:R:3 pbc="T T T"
Na 0.0000 0.0000 0.0000
La 1.9575 1.9575 1.9575
Ho 5.8726 5.8726 5.8726
Tl 3.9151 3.9151 3.9151
```

Space group: F-43m
Uncorrected energy in eV per atom: -3.38

---

[11]
## AlAgN (GGA-PBE)

Data for an optimized crystal structure of AlAgN.

```
6
Lattice="3.6665 0.0000 0.0000 0.0000 3.6665 0.0000 0.0000 0.0000 7.1579" Properties=species:S:1:pos:R:3 pbc="T T T"
Al 0.9166 2.7499 0.0000
Al 2.7499 0.9166 0.0000
Ag 0.9166 0.9166 3.0421
Ag 2.7499 2.7499 4.1159
N 0.9166 0.9166 0.4913
N 2.7499 2.7499 6.6666
```

Space group: P4/nmm
E_form (uncorrected) in eV/f.u.: -1.17

---

[12]
## Pr2NdSm3Tm6 (GGA-PBE)

Data for an optimized crystal structure of Pr2NdSm3Tm6.

```
12
Lattice="3.1074 -5.3799 0.0000 3.1074 5.3799 0.0000 -2.0635 0.0000 11.5341" Properties=species:S:1:pos:R:3 pbc="T T T"
Pr 3.1074 3.5872 0.0000
Pr 3.1074 -3.5872 0.0000
Nd 3.1074 0.0000 0.0000
Sm -1.0318 0.0000 5.7670
Sm 2.0757 1.7940 5.7670
Sm 2.0757 -1.7940 5.7670
Tm 0.0045 1.7926 8.6301
Tm 1.0408 0.0000 2.9051
Tm 0.0045 -1.7926 8.6301
Tm 4.1468 1.7926 2.9040
Tm 3.1105 0.0000 8.6290
Tm 4.1468 -1.7926 2.9040
```

Space group: C2/m
Uncorrected energy in eV per atom: -4.59

---

no.,volume (Å³/cell),M_tot (μB/cell)
1,85,0.00
2,314,0.00
3,83,0.00
4,170,0.50
5,164,0.00
6,570,0.00
7,151,0.00
8,156,0.00
9,597,0.00
10,120,0.02
11,96,0.00
12,386,0.00